(1)
The following is a DFT calculation (PBE) of a relaxed structure of PmPrMo.

## Properties
DFT total energy ... -5.56 eV per atom
Total magnetization ... 0.000 μB/atom
E_form ... 1.23 eV/atom

a b c (Å): 4.9559 4.9559 4.9559
angles (deg): 60.00 60.00 60.00
Last column: nearest neighbours and their distance in Å.
Positions (direct):
Pm (0.0000, 0.0000, 0.0000)  4 Mo 3.03, 4 Pr 3.03
Pr (0.2500, 0.2500, 0.2500)  4 Pm 3.03
Mo (0.7500, 0.7500, 0.7500)  4 Pm 3.03

(2)
The following is a DFT calculation (PBE) of a relaxed structure of ScFe6Ge6.

## Properties
DFT total energy ... -6.74 eV per atom
Total magnetization ... 0.849 μB/atom

a b c (Å): 5.0486 5.0486 8.0843
angles (deg): 90.00 90.00 120.00
Last column: nearest neighbours and their distance in Å.
Positions (direct):
Sc (0.0000, 0.0000, 0.0000)  8 Ge 2.77-2.91
Fe (0.0000, 0.5000, 0.2487)  6 Ge 2.48-2.63, 4 Fe 2.52
Fe (0.0000, 0.5000, 0.7513)  6 Ge 2.48-2.63, 4 Fe 2.52
Fe (0.5000, 0.0000, 0.2487)  6 Ge 2.48-2.63, 4 Fe 2.52
Fe (0.5000, 0.0000, 0.7513)  6 Ge 2.48-2.63, 4 Fe 2.52
Fe (0.5000, 0.5000, 0.2487)  6 Ge 2.48-2.63, 4 Fe 2.52
Fe (0.5000, 0.5000, 0.7513)  6 Ge 2.48-2.63, 4 Fe 2.52
Ge (0.0000, 0.0000, 0.3421)  1 Ge 2.55, 6 Fe 2.63, 1 Sc 2.77
Ge (0.0000, 0.0000, 0.6579)  1 Ge 2.55, 6 Fe 2.63, 1 Sc 2.77
Ge (0.3333, 0.6667, 0.0000)  6 Fe 2.48
Ge (0.3333, 0.6667, 0.5000)  6 Fe 2.50
Ge (0.6667, 0.3333, 0.0000)  6 Fe 2.48
Ge (0.6667, 0.3333, 0.5000)  6 Fe 2.50

(3)
The following is a DFT calculation (PBE) of a relaxed structure of Dy3ErTe2C2.

## Properties
DFT total energy ... -6.26 eV per atom
Total magnetization ... 0.000 μB/atom

a b c (Å): 3.8229 3.8229 13.9879
angles (deg): 90.00 90.00 120.00
Last column: nearest neighbours and their distance in Å.
Positions (direct):
Dy (0.0000, 0.0000, 0.0000)  3 C 2.57
Dy (0.0000, 0.0000, 0.3142)  3 C 2.57
Dy (0.3333, 0.6667, 0.5016)  3 C 2.57
Er (0.3333, 0.6667, 0.8145)  3 C 2.55
Te (0.0000, 0.0000, 0.6595)  3 Er 3.09, 3 Dy 3.12
Te (0.3333, 0.6667, 0.1572)  6 Dy 3.11-3.12
C (0.6667, 0.3333, 0.4079)  6 Dy 2.57
C (0.6667, 0.3333, 0.9063)  3 Er 2.55, 3 Dy 2.57

(4)
The following is a DFT calculation (PBE) of a relaxed structure of Zr4SnAsC2.

## Properties
DFT total energy ... -8.54 eV per atom
Total magnetization ... 0.000 μB/atom

a b c (Å): 3.4276 3.4276 13.7159
angles (deg): 90.00 90.00 120.00
Last column: nearest neighbours and their distance in Å.
Positions (direct):
Zr (0.0000, 0.0000, 0.1416)  3 C 2.35
Zr (0.0000, 0.0000, 0.8584)  3 C 2.35
Zr (0.3333, 0.6667, 0.3241)  3 C 2.33
Zr (0.3333, 0.6667, 0.6759)  3 C 2.33
Sn (0.0000, 0.0000, 0.5000)  6 Zr 3.12, 6 Sn 3.43
As (0.3333, 0.6667, 0.0000)  6 Zr 2.77
C (0.6667, 0.3333, 0.2343)  6 Zr 2.33-2.35
C (0.6667, 0.3333, 0.7657)  6 Zr 2.33-2.35

(5)
The following is a DFT calculation (PBE) of a relaxed structure of DyPaAu.

## Properties
DFT total energy ... -5.30 eV per atom
Energy above the most stable polymorph in this dataset ... 0 meV/atom
Total magnetization ... 0.359 μB/atom
E_form ... 0.49 eV/atom

a b c (Å): 4.8808 4.8808 4.8808
angles (deg): 60.00 60.00 60.00
Last column: nearest neighbours and their distance in Å.
Positions (direct):
Dy (0.0000, 0.0000, 0.0000)  4 Pa 2.99
Pa (0.7500, 0.7500, 0.7500)  4 Dy 2.99, 4 Au 2.99
Au (0.5000, 0.5000, 0.5000)  4 Pa 2.99

(6)
The following is a DFT calculation (PBE) of a relaxed structure of LaPrSi2Mo2C.

## Properties
DFT total energy ... -7.86 eV per atom
Total magnetization ... 0.001 μB/atom

a b c (Å): 6.0082 6.0082 7.4424
angles (deg): 123.95 123.95 38.57
Last column: nearest neighbours and their distance in Å.
Positions (direct):
La (0.0000, 0.0000, 0.0000)  2 C 2.74
Pr (0.1540, 0.1540, 0.6045)  2 C 2.72
Si (0.4414, 0.4414, 0.6237)  3 Mo 2.57-2.58, 1 Si 2.62
Si (0.7128, 0.7128, 0.9816)  3 Mo 2.57-2.59, 1 Si 2.62
Mo (0.3729, 0.3729, 0.2250)  1 C 2.03
Mo (0.7822, 0.7822, 0.3817)  1 C 2.03
C (0.5778, 0.5778, 0.3050)  2 Mo 2.03

(7)
The following is a DFT calculation (PBE) of a relaxed structure of Nb4GaAuC2.

## Properties
DFT total energy ... -8.60 eV per atom
Total magnetization ... 0.000 μB/atom

a b c (Å): 3.1707 3.1707 13.7624
angles (deg): 90.00 90.00 120.00
Last column: nearest neighbours and their distance in Å.
Positions (direct):
Nb (0.0000, 0.0000, 0.1588)  3 C 2.20
Nb (0.0000, 0.0000, 0.8412)  3 C 2.20
Nb (0.3333, 0.6667, 0.3342)  3 C 2.18
Nb (0.3333, 0.6667, 0.6658)  3 C 2.18
Ga (0.3333, 0.6667, 0.0000)  6 Nb 2.85, 6 Ga 3.17
Au (0.0000, 0.0000, 0.5000)  6 Nb 2.93, 6 Au 3.17
C (0.6667, 0.3333, 0.2477)  6 Nb 2.18-2.20
C (0.6667, 0.3333, 0.7523)  6 Nb 2.18-2.20

(8)
The following is a DFT calculation (PBE) of a relaxed structure of AgPd2Pt2.

## Properties
DFT total energy ... -4.77 eV per atom
Total magnetization ... 0.098 μB/atom
E_form ... 0.29 eV/atom

a b c (Å): 6.8999 6.8999 6.8999
angles (deg): 148.60 148.60 44.99
Last column: nearest neighbours and their distance in Å.
Positions (direct):
Ag (0.0000, 0.0000, 0.0000)  8 Pd 2.93
Pd (0.4006, 0.4006, 0.0000)  1 Pd 2.53, 4 Pt 2.68
Pd (0.5994, 0.5994, 0.0000)  1 Pd 2.53, 4 Pt 2.68
Pt (0.2500, 0.7500, 0.5000)  4 Pt 2.64, 4 Pd 2.68
Pt (0.7500, 0.2500, 0.5000)  4 Pt 2.64, 4 Pd 2.68

(9)
The following is a DFT calculation (PBE) of a relaxed structure of LuZnCoAg.

## Properties
DFT total energy ... -3.88 eV per atom
Energy above the most stable polymorph in this dataset ... 129 meV/atom
Total magnetization ... 0.000 μB/atom
E_form ... 0.05 eV/atom

a b c (Å): 4.6218 4.6218 4.6218
angles (deg): 60.00 60.00 60.00
Last column: nearest neighbours and their distance in Å.
Positions (direct):
Lu (0.0000, 0.0000, 0.0000)  4 Ag 2.83, 4 Zn 2.83
Zn (0.2500, 0.2500, 0.2500)  4 Co 2.83, 4 Lu 2.83
Co (0.5000, 0.5000, 0.5000)  4 Ag 2.83, 4 Zn 2.83
Ag (0.7500, 0.7500, 0.7500)  4 Co 2.83, 4 Lu 2.83

(10)
The following is a DFT calculation (PBE) of a relaxed structure of Nd2Dy2CBr2Cl3.

## Properties
DFT total energy ... -5.26 eV per atom
Energy above the most stable polymorph in this dataset ... 9 meV/atom
Total magnetization ... 0.020 μB/atom

a b c (Å): 8.9801 8.9801 7.9571
angles (deg): 103.41 103.41 24.34
Last column: nearest neighbours and their distance in Å.
Positions (direct):
Nd (0.1475, 0.1475, 0.0817)  1 C 2.52
Nd (0.8525, 0.8525, 0.9183)  1 C 2.52
Dy (0.4978, 0.4978, 0.2079)  2 C 2.52, 1 Cl 2.82
Dy (0.5022, 0.5022, 0.7921)  2 C 2.52, 1 Cl 2.82
C (0.0000, 0.0000, 0.0000)  2 Nd 2.52, 4 Dy 2.52
Br (0.3373, 0.3373, 0.6306)  1 Dy 2.87, 2 Nd 2.93
Br (0.6627, 0.6627, 0.3694)  1 Dy 2.87, 2 Nd 2.93
Cl (0.0000, 0.0000, 0.5000)  4 Dy 2.99
Cl (0.3346, 0.3346, 0.1760)  1 Dy 2.82, 2 Nd 2.86
Cl (0.6654, 0.6654, 0.8240)  1 Dy 2.82, 2 Nd 2.86

(11)
The following is a DFT calculation (PBE) of a relaxed structure of Ge2Mo3Os2.

## Properties
DFT total energy ... -8.87 eV per atom
Total magnetization ... 0.001 μB/atom

a b c (Å): 7.3611 7.3611 7.3611
angles (deg): 34.31 34.31 34.31
Last column: nearest neighbours and their distance in Å.
Positions (direct):
Ge (0.0000, 0.0000, 0.0000)  7 Mo 2.53-2.82
Ge (0.4762, 0.4762, 0.4762)  5 Mo 2.60-2.81, 3 Os 2.85
Mo (0.3511, 0.3511, 0.3511)  4 Ge 2.53-2.60, 4 Os 2.80-2.83
Mo (0.6113, 0.6113, 0.6113)  4 Os 2.75-2.83, 4 Ge 2.76-2.81, 6 Mo 2.93-3.01
Mo (0.8642, 0.8642, 0.8642)  4 Os 2.50-2.53, 3 Ge 2.75
Os (0.2147, 0.2147, 0.2147)  7 Mo 2.53-2.83
Os (0.7439, 0.7439, 0.7439)  5 Mo 2.50-2.80

(12)
The following is a DFT calculation (PBE) of a relaxed structure of Mg3Zr3Sc2.

## Properties
DFT total energy ... -5.30 eV per atom
Energy above the most stable polymorph in this dataset ... 25 meV/atom
Total magnetization ... 0.013 μB/atom

a b c (Å): 6.2601 6.2601 5.3714
angles (deg): 90.00 90.00 120.00
Last column: nearest neighbours and their distance in Å.
Positions (direct):
Mg (0.1700, 0.3399, 0.0000)  4 Mg 3.07-3.19, 4 Sc 3.13-3.26, 4 Zr 3.25
Mg (0.1700, 0.8300, 0.0000)  4 Mg 3.07-3.19, 4 Sc 3.13-3.26, 4 Zr 3.25
Mg (0.6601, 0.8300, 0.0000)  4 Mg 3.07-3.19, 4 Sc 3.13-3.26, 4 Zr 3.25
Zr (0.5067, 0.0134, 0.5000)  4 Zr 3.00-3.26, 4 Sc 3.13-3.20, 4 Mg 3.25
Zr (0.5067, 0.4933, 0.5000)  4 Zr 3.00-3.26, 4 Sc 3.13-3.20, 4 Mg 3.25
Zr (0.9866, 0.4933, 0.5000)  4 Zr 3.00-3.26, 4 Sc 3.13-3.20, 4 Mg 3.25
Sc (0.0000, 0.0000, 0.5000)  6 Zr 3.13, 6 Mg 3.26
Sc (0.6667, 0.3333, 0.0000)  6 Mg 3.13, 6 Zr 3.20

(13)
The following is a DFT calculation (PBE) of a relaxed structure of MgNbAg.

## Properties
DFT total energy ... -4.22 eV per atom
Energy above the most stable polymorph in this dataset ... 0 meV/atom
Total magnetization ... 0.002 μB/atom

a b c (Å): 4.4470 4.4470 4.4470
angles (deg): 60.00 60.00 60.00
Last column: nearest neighbours and their distance in Å.
Positions (direct):
Mg (0.0000, 0.0000, 0.0000)  4 Ag 2.72
Nb (0.5000, 0.5000, 0.5000)  4 Ag 2.72
Ag (0.2500, 0.2500, 0.2500)  4 Nb 2.72, 4 Mg 2.72

(14)
The following is a DFT calculation (PBE) of a relaxed structure of LiGaCoAg.

## Properties
DFT total energy ... -3.77 eV per atom
Energy above the most stable polymorph in this dataset ... 0 meV/atom
Total magnetization ... 0.050 μB/atom

a b c (Å): 4.2564 4.2564 4.2564
angles (deg): 60.00 60.00 60.00
Last column: nearest neighbours and their distance in Å.
Positions (direct):
Li (0.0000, 0.0000, 0.0000)  4 Ga 2.61, 4 Ag 2.61
Ga (0.2500, 0.2500, 0.2500)  4 Co 2.61, 4 Li 2.61
Co (0.5000, 0.5000, 0.5000)  4 Ag 2.61, 4 Ga 2.61
Ag (0.7500, 0.7500, 0.7500)  4 Li 2.61, 4 Co 2.61

(15)
The following is a DFT calculation (PBE) of a relaxed structure of HoCoRe.

## Properties
DFT total energy ... -6.50 eV per atom
Total magnetization ... 1.062 μB/atom
E_form ... 1.54 eV/atom

a b c (Å): 4.4268 4.4268 4.4268
angles (deg): 60.00 60.00 60.00
Last column: nearest neighbours and their distance in Å.
Positions (direct):
Ho (0.0000, 0.0000, 0.0000)  4 Re 2.71, 4 Co 2.71
Co (0.2500, 0.2500, 0.2500)  4 Ho 2.71
Re (0.7500, 0.7500, 0.7500)  4 Ho 2.71

(16)
The following is a DFT calculation (PBE) of a relaxed structure of HoBH8SO10.

## Properties
DFT total energy ... -5.99 eV per atom
Total magnetization ... 0.000 μB/atom

a b c (Å): 5.8339 6.7253 9.7333
angles (deg): 79.86 76.73 88.48
Last column: nearest neighbours and their distance in Å.
Positions (direct):
Ho (0.0835, 0.3198, 0.2766)  8 O 2.25-2.40
Ho (0.9165, 0.6802, 0.7234)  8 O 2.25-2.40
B (0.4157, 0.6660, 0.7299)  4 O 1.45-1.50
B (0.5843, 0.3340, 0.2701)  4 O 1.45-1.50
H (0.1813, 0.8024, 0.1170)  1 O 0.99
H (0.2198, 0.7417, 0.9175)  1 O 1.01
H (0.2400, 0.4132, 0.9569)  1 O 1.01
H (0.2655, 0.0126, 0.0178)  1 O 0.99
H (0.4141, 0.7238, 0.5137)  1 O 0.99
H (0.4340, 0.2618, 0.0083)  1 O 0.99
H (0.4712, 0.6214, 0.2897)  1 O 0.99
H (0.4991, 0.0260, 0.3023)  1 O 0.99
H (0.5009, 0.9740, 0.6977)  1 O 0.99
H (0.5288, 0.3786, 0.7103)  1 O 0.99
H (0.5660, 0.7382, 0.9917)  1 O 0.99
H (0.5859, 0.2762, 0.4863)  1 O 0.99
H (0.7345, 0.9874, 0.9822)  1 O 0.99
H (0.7600, 0.5868, 0.0431)  1 O 1.01
H (0.7802, 0.2583, 0.0825)  1 O 1.01
H (0.8187, 0.1976, 0.8830)  1 O 0.99
S (0.1295, 0.2031, 0.6544)  4 O 1.46-1.50
S (0.8705, 0.7969, 0.3456)  4 O 1.46-1.50
O (0.0182, 0.3408, 0.7544)  1 S 1.49
O (0.0240, 0.0020, 0.7163)  1 S 1.47
O (0.0826, 0.2745, 0.5127)  1 S 1.46
O (0.2077, 0.6388, 0.8555)  1 H 1.01
O (0.2643, 0.2961, 0.0320)  2 H 0.99-1.01
O (0.2905, 0.8658, 0.0266)  2 H 0.99
O (0.3076, 0.6784, 0.6080)  1 H 0.99
O (0.3889, 0.1973, 0.6463)  1 S 1.50, 1 H 1.66
O (0.4212, 0.5033, 0.2561)  1 H 0.99
O (0.4359, 0.1611, 0.2739)  1 H 0.99
O (0.5641, 0.8389, 0.7261)  1 H 0.99
O (0.5788, 0.4967, 0.7439)  1 H 0.99
O (0.6111, 0.8027, 0.3537)  1 S 1.50, 1 H 1.66
O (0.6924, 0.3216, 0.3920)  1 H 0.99
O (0.7095, 0.1342, 0.9734)  2 H 0.99
O (0.7357, 0.7039, 0.9680)  2 H 0.99-1.01
O (0.7923, 0.3612, 0.1445)  1 H 1.01
O (0.9174, 0.7255, 0.4873)  1 S 1.46
O (0.9760, 0.9980, 0.2837)  1 S 1.47
O (0.9818, 0.6592, 0.2456)  1 S 1.49

(17)
The following is a DFT calculation (PBE) of a relaxed structure of PaB.

## Properties
DFT total energy ... -7.92 eV per atom
Energy above the most stable polymorph in this dataset ... 163 meV/atom
Total magnetization ... 0.001 μB/atom

a b c (Å): 3.5270 3.5270 3.1659
angles (deg): 90.00 90.00 120.00
Last column: nearest neighbours and their distance in Å.
Positions (direct):
Pa (0.0000, 0.0000, 0.0000)  6 B 2.58
B (0.3333, 0.6667, 0.5000)  6 Pa 2.58

(18)
The following is a DFT calculation (PBE) of a relaxed structure of PuInIr.

## Properties
DFT total energy ... -8.93 eV per atom
Total magnetization ... 1.779 μB/atom

a b c (Å): 4.6985 4.6985 4.6985
angles (deg): 60.00 60.00 60.00
Last column: nearest neighbours and their distance in Å.
Positions (direct):
Pu (0.0000, 0.0000, 0.0000)  4 Ir 2.88
In (0.5000, 0.5000, 0.5000)  4 Ir 2.88
Ir (0.7500, 0.7500, 0.7500)  4 In 2.88, 4 Pu 2.88

(19)
The following is a DFT calculation (PBE) of a relaxed structure of LaSmPO.

## Properties
DFT total energy ... -6.98 eV per atom
Energy above the most stable polymorph in this dataset ... 26 meV/atom
Total magnetization ... 0.122 μB/atom

a b c (Å): 4.2647 8.0173 5.7137
angles (deg): 90.00 90.00 90.00
Last column: nearest neighbours and their distance in Å.
Positions (direct):
La (0.0000, 0.1232, 0.0000)  2 O 2.45-2.50
La (0.0000, 0.8768, 0.5000)  2 O 2.45-2.50
Sm (0.5000, 0.3068, 0.4684)  2 O 2.38
Sm (0.5000, 0.6932, 0.9684)  2 O 2.38
P (0.5000, 0.3476, 0.9672)  3 Sm 2.77-2.88, 2 La 2.80
P (0.5000, 0.6524, 0.4672)  3 Sm 2.77-2.88, 2 La 2.80
O (0.0000, 0.1785, 0.4314)  2 Sm 2.38, 2 La 2.45-2.50
O (0.0000, 0.8215, 0.9314)  2 Sm 2.38, 2 La 2.45-2.50

(20)
The following is a DFT calculation (PBE) of a relaxed structure of SrMgCoBi.

## Properties
DFT total energy ... -3.38 eV per atom
Energy above the most stable polymorph in this dataset ... 56 meV/atom
Total magnetization ... 0.174 μB/atom

a b c (Å): 5.0863 5.0863 5.0863
angles (deg): 60.00 60.00 60.00
Last column: nearest neighbours and their distance in Å.
Positions (direct):
Sr (0.0000, 0.0000, 0.0000)  4 Mg 3.11, 4 Co 3.11
Mg (0.7500, 0.7500, 0.7500)  4 Bi 3.11, 4 Sr 3.11
Co (0.2500, 0.2500, 0.2500)  4 Bi 3.11, 4 Sr 3.11
Bi (0.5000, 0.5000, 0.5000)  4 Mg 3.11, 4 Co 3.11